No. 1
# LiNdH6Pt, optimized geometry, DFT PBE
# - size of the total moment (μB per cell) = 0.0
# - electronic total energy (eV/cell) = -36.16
data_LiNdH6Pt
_symmetry_space_group_name_H-M 'P -6 m 2'
_symmetry_Int_Tables_number 187
_symmetry_space_group_name_Hall 'P -6 2'
_cell_length_a 4.5809
_cell_length_b 4.5809
_cell_length_c 4.4424
_cell_angle_alpha 90.00
_cell_angle_beta 90.00
_cell_angle_gamma 120.00
loop_
_atom_site_label
_atom_site_fract_x
_atom_site_fract_y
_atom_site_fract_z
Li1 0.0000 0.0000 0.0000
Nd1 0.6667 0.3333 0.5000
H1 0.1756 0.3513 0.2708
Pt1 0.3333 0.6667 0.0000



No. 2
# SrMg12Ni5, optimized geometry, DFT PBE
# - size of the total moment (μB per cell) = 0.0
# - formation energy (kJ/mol of atoms) = -4.59
# - electronic total energy (eV/cell) = -101.16
data_SrMg12Ni5
_symmetry_space_group_name_H-M 'I m m m'
_symmetry_Int_Tables_number 71
_symmetry_space_group_name_Hall '-I 2 2'
_cell_length_a 8.0812
_cell_length_b 8.6831
_cell_length_c 10.0584
_cell_angle_alpha 90.00
_cell_angle_beta 90.00
_cell_angle_gamma 90.00
loop_
_atom_site_label
_atom_site_fract_x
_atom_site_fract_y
_atom_site_fract_z
Sr1 0.0000 0.0000 0.0000
Mg1 0.0000 0.3143 0.1860
Mg2 0.1764 0.2640 0.5000
Mg3 0.1912 0.0000 0.2794
Ni1 0.0000 0.0000 0.5000
Ni2 0.0000 0.5000 0.3844
Ni3 0.1477 0.5000 0.0000